[1]
Entry from the Alexandria database: a geometry-optimized La3Sm5Y3 structure (PBE).

## Properties
Energy (eV/atom): -4.5277

a b c (Å): 9.6499 9.6499 5.6905
angles (deg): 90.00 90.00 120.00
Fractional positions:
La1 0.0000 0.3950 0.0000
La2 0.3950 0.0000 0.0000
La3 0.6050 0.6050 0.0000
Sm1 0.0000 0.6158 0.5000
Sm2 0.3333 0.6667 0.5000
Sm3 0.3842 0.3842 0.5000
Sm4 0.6158 0.0000 0.5000
Sm5 0.6667 0.3333 0.5000
Y1 0.0000 0.2427 0.5000
Y2 0.2427 0.0000 0.5000
Y3 0.7573 0.7573 0.5000

[2]
Entry from the Alexandria database: a geometry-optimized LaSm3Y4 structure (PBE).

## Properties
Energy (eV/atom): -5.5956
ΔE to the lowest computed polymorph (eV per formula unit): 0.00

a b c (Å): 11.5737 7.3655 6.3508
angles (deg): 90.00 90.00 90.00
Fractional positions:
La1 0.0000 0.1228 0.0000
La2 0.5000 0.8772 0.5000
Sm1 0.0000 0.8729 0.5017
Sm2 0.2491 0.1266 0.3322
Sm3 0.2509 0.8734 0.8322
Sm4 0.5000 0.1271 0.0017
Sm5 0.7491 0.8734 0.8322
Sm6 0.7509 0.1266 0.3322
Y1 0.0000 0.3777 0.4974
Y2 0.0000 0.6238 0.9988
Y3 0.2490 0.6233 0.3349
Y4 0.2510 0.3767 0.8349
Y5 0.5000 0.3762 0.4988
Y6 0.5000 0.6223 0.9974
Y7 0.7490 0.3767 0.8349
Y8 0.7510 0.6233 0.3349

These records have energy of formation values of 0.72, 0.02 eV per atom, in the order they appear.